Entry from OQMD via LeMat-Bulk: a relaxed structure of TbTlGa (GGA-PBE).

Lattice parameters (Å, degrees): 4.4292 14.5377 4.5675 90.00 90.00 90.00
Closest atoms and distances in Å follow each position.
Atoms (fractional coordinates):
Tb  0.0000  0.1592  0.0000  6 Ga 3.17-3.21, 4 Tl 3.20-3.25, 2 Tb 3.45
Tb  0.0000  0.8408  0.0000  6 Ga 3.17-3.21, 4 Tl 3.20-3.25, 2 Tb 3.45
Tb  0.5000  0.3408  0.0000  6 Ga 3.17-3.21, 4 Tl 3.20-3.25, 2 Tb 3.45
Tb  0.5000  0.6592  0.0000  6 Ga 3.17-3.21, 4 Tl 3.20-3.25, 2 Tb 3.45
Tl  0.0000  0.0000  0.5000  4 Tl 3.18, 4 Tb 3.25, 4 Ga 3.54
Tl  0.0000  0.5000  0.0000  4 Tl 3.18, 4 Tb 3.20
Tl  0.5000  0.0000  0.0000  4 Tl 3.18, 4 Tb 3.20
Tl  0.5000  0.5000  0.5000  4 Tl 3.18, 4 Tb 3.25, 4 Ga 3.54
Ga  0.0000  0.3104  0.5000  2 Ga 2.83
Ga  0.0000  0.6896  0.5000  2 Ga 2.83
Ga  0.5000  0.1896  0.5000  2 Ga 2.83
Ga  0.5000  0.8104  0.5000  2 Ga 2.83

## Properties
energy relative to the lowest polymorph listed for this composition	0.00	eV/f.u.
symmetry	Cmmm (65)

***

Entry from OQMD via LeMat-Bulk: a relaxed structure of Zn2Pd3Au (GGA-PBE).

Lattice parameters (Å, degrees): 2.9690 2.9690 10.3472 90.00 90.00 90.00
Closest atoms and distances in Å follow each position.
Atoms (fractional coordinates):
Zn  0.0000  0.0000  0.1596  8 Pd 2.62-2.67
Zn  0.0000  0.0000  0.8404  8 Pd 2.62-2.67
Pd  0.5000  0.5000  0.0000  8 Zn 2.67, 4 Pd 2.97
Pd  0.5000  0.5000  0.3106  4 Zn 2.62, 4 Au 2.87
Pd  0.5000  0.5000  0.6894  4 Zn 2.62, 4 Au 2.87
Au  0.0000  0.0000  0.5000  8 Pd 2.87, 4 Au 2.97

## Properties
E_form	-2.7	eV per formula unit
symmetry	P4/mmm (123)

***

Entry from OQMD via LeMat-Bulk: a relaxed structure of Cs2Li2TbTe4 (GGA-PBE).

Lattice parameters (Å, degrees): 8.0378 8.0378 6.9455 90.00 90.00 129.12
Closest atoms and distances in Å follow each position.
Atoms (fractional coordinates):
Cs  0.0000  0.5000  0.2350  8 Te 3.95-4.19, 4 Li 4.34-4.42, 2 Tb 4.42
Cs  0.5000  0.0000  0.7650  8 Te 3.95-4.19, 4 Li 4.34-4.42, 2 Tb 4.42
Li  0.0000  0.0000  0.0000  4 Te 2.88
Li  0.5000  0.5000  0.5000  4 Te 2.88
Tb  0.0000  0.0000  0.5000  4 Te 2.92
Te  0.1513  0.3595  0.7550  2 Li 2.88, 1 Tb 2.92
Te  0.3595  0.1513  0.2450  2 Li 2.88, 1 Tb 2.92
Te  0.6405  0.8487  0.2450  2 Li 2.88, 1 Tb 2.92
Te  0.8487  0.6405  0.7550  2 Li 2.88, 1 Tb 2.92

## Properties
symmetry	C222 (21)

***

Entry from OQMD via LeMat-Bulk: a relaxed structure of Nb2PdS5 (GGA-PBE).

Lattice parameters (Å, degrees): 6.4230 6.4230 15.3903 103.36 103.36 29.82
Closest atoms and distances in Å follow each position.
Atoms (fractional coordinates):
Nb  0.0774  0.0774  0.1809  6 S 2.47-2.48
Nb  0.3476  0.3476  0.6247  7 S 2.49-2.70
Nb  0.6524  0.6524  0.3753  7 S 2.49-2.70
Nb  0.9226  0.9226  0.8191  6 S 2.47-2.48
Pd  0.5000  0.5000  0.0000  4 S 2.35-2.36
Pd  0.5000  0.5000  0.5000  4 S 2.46
S  0.0027  0.0027  0.3158  3 Nb 2.47-2.49
S  0.1483  0.1483  0.5060  2 Pd 2.46, 3 Nb 2.61-2.70
S  0.2514  0.2514  0.3008  3 Nb 2.48-2.50
S  0.3269  0.3269  0.8950  1 Pd 2.36, 2 Nb 2.48
S  0.4276  0.4276  0.1276  1 Pd 2.35, 2 Nb 2.48
S  0.5724  0.5724  0.8724  1 Pd 2.35, 2 Nb 2.48
S  0.6731  0.6731  0.1050  1 Pd 2.36, 2 Nb 2.48
S  0.7486  0.7486  0.6992  3 Nb 2.48-2.50
S  0.8517  0.8517  0.4940  2 Pd 2.46, 3 Nb 2.61-2.70
S  0.9973  0.9973  0.6842  3 Nb 2.47-2.49

## Properties
symmetry	C2/m (12)

***

Entry from OQMD via LeMat-Bulk: a relaxed structure of TbErGa2Ag2 (GGA-PBE).

Lattice parameters (Å, degrees): 4.5848 4.5848 7.0167 90.00 90.00 120.00
Closest atoms and distances in Å follow each position.
Atoms (fractional coordinates):
Tb  0.0000  0.0000  0.0000  6 Ag 3.14, 6 Ga 3.31, 2 Er 3.51
Er  0.0000  0.0000  0.5000  6 Ga 3.05, 6 Ag 3.21
Ga  0.3333  0.6667  0.2842  3 Ag 2.66
Ga  0.3333  0.6667  0.7158  3 Ag 2.66
Ag  0.6667  0.3333  0.2406  3 Ga 2.66
Ag  0.6667  0.3333  0.7594  3 Ga 2.66

## Properties
symmetry	P-6m2 (187)

***

Entry from OQMD via LeMat-Bulk: a relaxed structure of MgAu (GGA-PBE).

Lattice parameters (Å, degrees): 5.9223 5.9223 4.7800 90.00 90.00 120.00
Closest atoms and distances in Å follow each position.
Atoms (fractional coordinates):
Mg  0.0000  0.0000  0.0000  6 Mg 2.94, 6 Au 2.96
Mg  0.1674  0.3348  0.5000  6 Au 2.93-2.96, 6 Mg 2.94-2.97
Mg  0.1674  0.8326  0.5000  6 Au 2.93-2.96, 6 Mg 2.94-2.97
Mg  0.6652  0.8326  0.5000  6 Au 2.93-2.96, 6 Mg 2.94-2.97
Au  0.0037  0.5018  0.0000  6 Au 2.93-2.99, 6 Mg 2.93-2.96
Au  0.4982  0.5018  0.0000  6 Au 2.93-2.99, 6 Mg 2.93-2.96
Au  0.4982  0.9963  0.0000  6 Au 2.93-2.99, 6 Mg 2.93-2.96
Au  0.6667  0.3333  0.5000  6 Au 2.95, 6 Mg 2.96

## Properties
symmetry	P-6m2 (187)

***

Entry from OQMD via LeMat-Bulk: a relaxed structure of NaSrCoMo (GGA-PBE).

Lattice parameters (Å, degrees): 6.7457 6.7457 6.7457 90.00 90.00 90.00
Closest atoms and distances in Å follow each position.
Atoms (fractional coordinates):
Na  0.0000  0.0000  0.0000  4 Sr 2.92, 4 Co 2.92
Na  0.0000  0.5000  0.5000  4 Co 2.92, 4 Sr 2.92
Na  0.5000  0.0000  0.5000  4 Co 2.92, 4 Sr 2.92
Na  0.5000  0.5000  0.0000  4 Co 2.92, 4 Sr 2.92
Sr  0.2500  0.2500  0.2500  4 Mo 2.92, 4 Na 2.92
Sr  0.2500  0.7500  0.7500  4 Mo 2.92, 4 Na 2.92
Sr  0.7500  0.2500  0.7500  4 Mo 2.92, 4 Na 2.92
Sr  0.7500  0.7500  0.2500  4 Mo 2.92, 4 Na 2.92
Co  0.2500  0.2500  0.7500  4 Mo 2.92, 4 Na 2.92
Co  0.2500  0.7500  0.2500  4 Mo 2.92, 4 Na 2.92
Co  0.7500  0.2500  0.2500  4 Mo 2.92, 4 Na 2.92
Co  0.7500  0.7500  0.7500  4 Mo 2.92, 4 Na 2.92
Mo  0.0000  0.0000  0.5000  4 Co 2.92, 4 Sr 2.92
Mo  0.0000  0.5000  0.0000  4 Co 2.92, 4 Sr 2.92
Mo  0.5000  0.0000  0.0000  4 Co 2.92, 4 Sr 2.92
Mo  0.5000  0.5000  0.5000  4 Co 2.92, 4 Sr 2.92

## Properties
energy relative to the lowest polymorph listed for this composition	0.14	eV/f.u.
symmetry	F-43m (216)

***

Entry from OQMD via LeMat-Bulk: a relaxed structure of AcTb2Se4 (GGA-PBE).

Lattice parameters (Å, degrees): 7.0763 7.0763 14.0172 90.00 90.00 145.78
Closest atoms and distances in Å follow each position.
Atoms (fractional coordinates):
Ac  0.1202  0.8798  0.7500  6 Se 3.09-3.15
Ac  0.8798  0.1202  0.2500  6 Se 3.09-3.15
Tb  0.3707  0.6293  0.5636  6 Se 2.83-2.93
Tb  0.3707  0.6293  0.9364  6 Se 2.83-2.93
Tb  0.6293  0.3707  0.0636  6 Se 2.83-2.93
Tb  0.6293  0.3707  0.4364  6 Se 2.83-2.93
Se  0.0000  0.0000  0.0000  4 Tb 2.86
Se  0.0000  0.0000  0.5000  4 Tb 2.86
Se  0.2703  0.7297  0.1181  3 Tb 2.89-2.93, 2 Ac 3.15
Se  0.2703  0.7297  0.3819  3 Tb 2.89-2.93, 2 Ac 3.15
Se  0.4510  0.5490  0.7500  2 Tb 2.83, 2 Ac 3.09
Se  0.5490  0.4510  0.2500  2 Tb 2.83, 2 Ac 3.09
Se  0.7297  0.2703  0.6181  3 Tb 2.89-2.93, 2 Ac 3.15
Se  0.7297  0.2703  0.8819  3 Tb 2.89-2.93, 2 Ac 3.15

## Properties
symmetry	Cmcm (63)

***

Entry from OQMD via LeMat-Bulk: a relaxed structure of LiTbHgS3 (GGA-PBE).

Lattice parameters (Å, degrees): 7.3738 7.3738 10.4930 90.00 90.00 147.56
Closest atoms and distances in Å follow each position.
Atoms (fractional coordinates):
Li  0.1348  0.8652  0.7500  2 S 2.37
Li  0.8652  0.1348  0.2500  2 S 2.37
Tb  0.5000  0.5000  0.0000  6 S 2.72-2.80
Tb  0.5000  0.5000  0.5000  6 S 2.72-2.80
Hg  0.1307  0.8693  0.2500  2 S 2.36
Hg  0.8693  0.1307  0.7500  2 S 2.36
S  0.1328  0.8672  0.0247  1 Hg 2.36
S  0.1328  0.8672  0.4753  1 Hg 2.36
S  0.4485  0.5515  0.2500  2 Li 2.37
S  0.5515  0.4485  0.7500  2 Li 2.37
S  0.8672  0.1328  0.5247  1 Hg 2.36
S  0.8672  0.1328  0.9753  1 Hg 2.36

## Properties
symmetry	Cmcm (63)

***

Entry from OQMD via LeMat-Bulk: a relaxed structure of DyY2Al3AgIr2 (GGA-PBE).

Lattice parameters (Å, degrees): 4.1346 7.0706 7.0706 119.72 90.00 90.00
Closest atoms and distances in Å follow each position.
Atoms (fractional coordinates):
Dy  0.0000  0.0000  0.0000  4 Ir 2.94, 1 Ag 2.96, 2 Al 3.11
Y  0.0000  0.4193  0.8391  4 Ir 2.97-2.98, 1 Ag 2.98, 6 Al 3.08-3.31
Y  0.0000  0.8391  0.4193  4 Ir 2.97-2.98, 1 Ag 2.98, 6 Al 3.08-3.31
Al  0.5000  0.1633  0.4214  2 Ir 2.67-2.69, 2 Ag 2.75
Al  0.5000  0.4214  0.1633  2 Ir 2.67-2.69, 2 Ag 2.75
Al  0.5000  0.6737  0.6737  2 Ir 2.67, 2 Ag 2.76
Ag  0.0000  0.4169  0.4169  6 Al 2.75-2.76, 1 Dy 2.96, 2 Y 2.98
Ir  0.5000  0.0851  0.7566  3 Al 2.67-2.69, 2 Dy 2.94, 4 Y 2.97-2.98
Ir  0.5000  0.7566  0.0851  3 Al 2.67-2.69, 2 Dy 2.94, 4 Y 2.97-2.98

## Properties
symmetry	Amm2 (38)

***

Number 1: raw total energy -3.7200 eV per atom. Number 2: raw total energy -4.0032 eV per atom. Number 3: raw total energy -3.5452 eV per atom. Number 4: raw total energy -6.6181 eV per atom. Number 5: raw total energy -3.9870 eV per atom. Number 6: raw total energy -2.7307 eV per atom. Number 7: raw total energy -4.0925 eV per atom. Number 8: raw total energy -5.8256 eV per atom. Number 9: raw total energy -4.3570 eV per atom. Number 10: raw total energy -6.1901 eV per atom.